Record 1
This record from Alexandria describes an optimized crystal structure of Hf2InS. The functional is PBE-GGA.

Computed properties:
Space-group type: Fm-3m, No. 225
Polymorph energy (0 for the lowest one) in eV per atom: 0.549

a = 4.821 Å, b = 4.821 Å, c = 4.821 Å
α = 60.00°, β = 60.00°, γ = 60.00°
Positions (direct):
Hf 0.250 0.250 0.250
Hf 0.750 0.750 0.750
S 0.000 0.000 0.000
In 0.500 0.500 0.500



Record 2
This record from Alexandria describes an optimized crystal structure of Hf2InS. The functional is PBE-GGA.

Computed properties:
Space-group type: R3m, No. 160
Polymorph energy (0 for the lowest one) in eV per atom: 0.000

a = 3.470 Å, b = 3.470 Å, c = 7.991 Å
α = 77.46°, β = 77.46°, γ = 60.00°
Positions (direct):
Hf 0.066 0.066 0.803
Hf 0.268 0.268 0.195
S 0.667 0.667 0.000
In 0.499 0.499 0.502



Record 3
This record from Alexandria describes an optimized crystal structure of Hf2In2S7. The functional is PBE-GGA.

Computed properties:
Space-group type: C2/m, No. 12
Uncorrected energy in eV per cell: -63.869

a = 6.882 Å, b = 6.824 Å, c = 6.824 Å
α = 110.22°, β = 97.29°, γ = 97.29°
Positions (direct):
S 0.743 0.562 0.562
S 0.698 0.450 0.051
S 0.257 0.438 0.438
S 0.000 0.000 0.000
S 0.698 0.051 0.450
S 0.302 0.550 0.949
S 0.302 0.949 0.550
In 0.868 0.253 0.253
In 0.132 0.747 0.747
Hf 0.500 0.322 0.678
Hf 0.500 0.678 0.322



Record 4
This record from Alexandria describes an optimized crystal structure of Hf3In5S12. The functional is PBE-GGA.

Computed properties:
Space-group type: Ia-3d, No. 230
Uncorrected energy in eV per cell: -427.445

a = 13.262 Å, b = 13.262 Å, c = 13.262 Å
α = 109.47°, β = 109.47°, γ = 109.47°
Positions (direct):
Hf 0.250 0.625 0.875
Hf 0.375 0.625 0.250
Hf 0.625 0.375 0.750
Hf 0.125 0.875 0.750
Hf 0.125 0.250 0.875
Hf 0.375 0.750 0.625
Hf 0.250 0.125 0.375
Hf 0.875 0.125 0.250
Hf 0.625 0.250 0.375
Hf 0.875 0.750 0.125
Hf 0.750 0.375 0.125
Hf 0.750 0.875 0.625
S 0.673 0.444 0.583
S 0.917 0.827 0.556
S 0.583 0.639 0.411
S 0.361 0.417 0.089
S 0.827 0.917 0.056
S 0.139 0.728 0.556
S 0.639 0.583 0.911
S 0.083 0.173 0.444
S 0.944 0.583 0.173
S 0.444 0.772 0.861
S 0.327 0.772 0.411
S 0.228 0.673 0.089
S 0.673 0.228 0.589
S 0.417 0.056 0.327
S 0.556 0.327 0.917
S 0.772 0.444 0.361
S 0.056 0.417 0.827
S 0.827 0.911 0.272
S 0.589 0.861 0.417
S 0.861 0.589 0.917
S 0.089 0.917 0.361
S 0.639 0.056 0.228
S 0.861 0.272 0.444
S 0.173 0.083 0.944
S 0.911 0.827 0.772
S 0.411 0.272 0.327
S 0.444 0.673 0.083
S 0.173 0.089 0.728
S 0.917 0.089 0.861
S 0.083 0.911 0.139
S 0.411 0.139 0.583
S 0.327 0.556 0.417
S 0.944 0.361 0.272
S 0.056 0.639 0.728
S 0.089 0.173 0.228
S 0.228 0.556 0.639
S 0.417 0.361 0.589
S 0.556 0.228 0.139
S 0.589 0.728 0.673
S 0.728 0.139 0.056
S 0.361 0.944 0.772
S 0.583 0.944 0.673
S 0.272 0.861 0.944
S 0.728 0.589 0.173
S 0.272 0.411 0.827
S 0.772 0.327 0.911
S 0.911 0.083 0.639
S 0.139 0.411 0.083
In 0.125 0.375 0.250
In 0.875 0.250 0.625
In 0.000 0.000 0.500
In 0.875 0.625 0.750
In 0.000 0.500 0.500
In 0.750 0.625 0.375
In 0.250 0.875 0.125
In 0.375 0.250 0.125
In 0.500 0.000 0.500
In 0.500 0.000 0.000
In 0.250 0.375 0.625
In 0.625 0.750 0.875
In 0.625 0.875 0.250
In 0.500 0.500 0.000
In 0.375 0.125 0.750
In 0.000 0.500 0.000
In 0.500 0.500 0.500
In 0.000 0.000 0.000
In 0.125 0.750 0.375
In 0.750 0.125 0.875



Record 5
This record from Alexandria describes an optimized crystal structure of HfInS2. The functional is PBE-GGA.

Computed properties:
Space-group type: P4/mmm, No. 123
Uncorrected energy in eV per cell: -23.173

a = 3.839 Å, b = 3.839 Å, c = 5.463 Å
α = 90.00°, β = 90.00°, γ = 90.00°
Positions (direct):
S 0.000 0.000 0.000
S 0.500 0.500 0.500
Hf 0.500 0.500 0.000
In 0.000 0.000 0.500



Record 6
This record from Alexandria describes an optimized crystal structure of Hf6InS. The functional is PBE-GGA.

Computed properties:
Space-group type: R-3, No. 148
Uncorrected energy in eV per cell: -69.370

a = 5.665 Å, b = 5.665 Å, c = 5.665 Å
α = 79.78°, β = 100.22°, γ = 79.78°
Positions (direct):
Hf 0.386 0.770 0.922
Hf 0.230 0.078 0.386
Hf 0.078 0.386 0.770
Hf 0.922 0.614 0.230
Hf 0.770 0.922 0.614
Hf 0.614 0.230 0.078
In 0.500 0.500 0.500
S 0.000 0.000 0.000